(1)
! GGA-PBE K2NaPOs, optimized geometry; values from VASP
! Energy of formation ... 1.943 eV per formula unit
! Total energy ... -3.642 eV/atom
! DOS(E_F) ... 4.9 states/eV/cell
! Volume ... 182.74 Å³ per cell
&SYSTEM
  ibrav = 0, nat = 5, ntyp = 4
/
ATOMIC_SPECIES
Os 190.23 Os.upf
K 39.10 K.upf
P 30.97 P.upf
Na 22.99 Na.upf
CELL_PARAMETERS angstrom
-1.918 1.380 -5.967
-4.025 -1.626 0.918
-1.901 5.810 1.955
ATOMIC_POSITIONS crystal
Os 0.000 0.000 0.000
K 0.500 0.000 0.000
P 0.000 0.500 0.000
K 0.000 0.000 0.500
Na 0.500 0.500 0.500


(2)
! GGA-PBE KNaTaOs2, optimized geometry; values from VASP
! Energy of formation ... 13.526 eV per formula unit
! Total energy ... -4.641 eV/atom
! DOS(E_F) ... 5.3 states/eV/cell
! Volume ... 95.02 Å³ per cell
&SYSTEM
  ibrav = 0, nat = 5, ntyp = 4
/
ATOMIC_SPECIES
Os 190.23 Os.upf
Na 22.99 Na.upf
Ta 180.95 Ta.upf
K 39.10 K.upf
CELL_PARAMETERS angstrom
-1.768 -0.149 4.434
-0.022 -4.164 -0.149
4.436 -0.087 1.766
ATOMIC_POSITIONS crystal
Os 0.000 0.000 0.500
Na 0.000 0.500 0.000
Ta 0.500 0.500 0.500
Os 0.500 0.000 0.000
K 0.000 0.000 0.000


(3)
! GGA-PBE K2NaOsW, optimized geometry; values from VASP
! Energy of formation ... 6.817 eV per formula unit
! Total energy ... -4.176 eV/atom
! DOS(E_F) ... 4.3 states/eV/cell
! Volume ... 194.73 Å³ per cell
&SYSTEM
  ibrav = 0, nat = 5, ntyp = 4
/
ATOMIC_SPECIES
Na 22.99 Na.upf
K 39.10 K.upf
W 183.84 W.upf
Os 190.23 Os.upf
CELL_PARAMETERS angstrom
6.439 0.000 0.000
0.000 4.696 0.000
0.000 0.000 6.439
ATOMIC_POSITIONS crystal
Na 0.500 0.500 0.500
K 0.500 0.000 0.000
K 0.000 0.000 0.500
W 0.000 0.500 0.000
Os 0.000 0.000 0.000


(4)
! GGA-PBE KNaP, optimized geometry; values from VASP
! Energy of formation ... -0.618 eV per formula unit
! Total energy ... -2.815 eV/atom
! DOS(E_F) ... 3.9 states/eV/cell
! Volume ... 189.41 Å³ per cell
&SYSTEM
  ibrav = 0, nat = 6, ntyp = 3
/
ATOMIC_SPECIES
Na 22.99 Na.upf
K 39.10 K.upf
P 30.97 P.upf
CELL_PARAMETERS angstrom
-2.444 -2.859 -2.417
5.595 -3.265 -1.795
-2.155 -0.695 7.134
ATOMIC_POSITIONS crystal
Na 0.000 0.780 0.000
Na 0.000 0.220 0.000
K 0.284 0.284 0.567
P 0.409 0.909 0.819
P 0.591 0.091 0.181
K 0.716 0.716 0.433


(5)
! GGA-PBE K2NaP, optimized geometry; values from VASP
! Energy of formation ... 0.500 eV per formula unit
! Total energy ... -2.106 eV/atom
! DOS(E_F) ... 1.3 states/eV/cell
! Volume ... 268.11 Å³ per cell
&SYSTEM
  ibrav = 0, nat = 8, ntyp = 3
/
ATOMIC_SPECIES
K 39.10 K.upf
P 30.97 P.upf
Na 22.99 Na.upf
CELL_PARAMETERS angstrom
4.944 0.000 0.000
0.000 4.944 0.000
2.472 2.472 10.970
ATOMIC_POSITIONS crystal
K 0.875 0.898 0.750
P 0.000 0.000 0.000
P 0.750 0.250 0.500
K 0.648 0.125 0.250
K 0.375 0.352 0.750
K 0.102 0.625 0.250
Na 0.500 0.500 0.000
Na 0.250 0.750 0.500


(6)
! GGA-PBE KNaP2, optimized geometry; values from VASP
! Energy of formation ... 1.378 eV per formula unit
! Total energy ... -2.965 eV/atom
! DOS(E_F) ... 2.5 states/eV/cell
! Volume ... 93.11 Å³ per cell
&SYSTEM
  ibrav = 0, nat = 4, ntyp = 3
/
ATOMIC_SPECIES
P 30.97 P.upf
Na 22.99 Na.upf
K 39.10 K.upf
CELL_PARAMETERS angstrom
-1.326 3.796 3.117
-1.197 4.561 -1.911
-4.820 1.624 0.124
ATOMIC_POSITIONS crystal
P 0.750 0.750 0.750
Na 0.000 0.000 0.000
P 0.250 0.250 0.250
K 0.500 0.500 0.500


Repeat the fourth record exactly.
! GGA-PBE KNaP, optimized geometry; values from VASP
! Energy of formation ... -0.618 eV per formula unit
! Total energy ... -2.815 eV/atom
! DOS(E_F) ... 3.9 states/eV/cell
! Volume ... 189.41 Å³ per cell
&SYSTEM
  ibrav = 0, nat = 6, ntyp = 3
/
ATOMIC_SPECIES
Na 22.99 Na.upf
K 39.10 K.upf
P 30.97 P.upf
CELL_PARAMETERS angstrom
-2.444 -2.859 -2.417
5.595 -3.265 -1.795
-2.155 -0.695 7.134
ATOMIC_POSITIONS crystal
Na 0.000 0.780 0.000
Na 0.000 0.220 0.000
K 0.284 0.284 0.567
P 0.409 0.909 0.819
P 0.591 0.091 0.181
K 0.716 0.716 0.433